[1]
First-principles (PBE) data for TaTlIn2 after structural relaxation, as listed in Alexandria.

Cell and atoms, written as extended XYZ:
```
4
Lattice="3.088 0.000 0.000 0.000 5.433 0.000 0.000 0.000 5.475" Properties=species:S:1:pos:R:3 pbc="T T T"
In 0.000 0.000 0.000
In 1.544 2.716 0.000
Ta 1.544 0.000 2.737
Tl 0.000 2.716 2.737
```

* offset from the most stable computed form: 0.199 eV/atom
* DFT total energy: -0.1644 hartree per atom
* DOS at the Fermi energy: 2.03 states/eV per cell
* E_form: 0.45 eV per atom

=====

[2]
First-principles (PBE) data for TaTlIn2 after structural relaxation, as listed in Alexandria.

Cell and atoms, written as extended XYZ:
```
4
Lattice="-1.095 -3.270 3.797 0.358 -5.056 -0.787 3.756 -2.684 2.236" Properties=species:S:1:pos:R:3 pbc="T T T"
In 0.000 0.000 0.000
In 0.755 -2.753 1.312
Ta 1.509 -5.505 2.623
Tl 2.264 -8.258 3.935
```

* offset from the most stable computed form: 0.520 eV/atom
* DFT total energy: -0.1526 hartree per atom
* DOS at the Fermi energy: 4.81 states/eV per cell
* E_form: 0.77 eV per atom

=====

[3]
First-principles (PBE) data for TaTlIn2 after structural relaxation, as listed in Alexandria.

Cell and atoms, written as extended XYZ:
```
4
Lattice="-5.382 -1.763 0.309 -0.956 -4.442 3.395 2.690 4.973 0.460" Properties=species:S:1:pos:R:3 pbc="T T T"
In 0.000 0.000 0.000
In -3.169 -3.102 1.852
Ta -0.718 -1.286 2.854
Tl -2.931 0.054 1.311
```

* offset from the most stable computed form: 0.149 eV/atom
* DFT total energy: -0.1662 hartree per atom
* DOS at the Fermi energy: 1.23 states/eV per cell
* E_form: 0.40 eV per atom

=====

[4]
First-principles (PBE) data for TaTlIn2 after structural relaxation, as listed in Alexandria.

Cell and atoms, written as extended XYZ:
```
4
Lattice="-4.556 5.071 1.275 -1.165 -5.189 1.551 -0.291 0.967 2.986" Properties=species:S:1:pos:R:3 pbc="T T T"
In 0.000 0.000 0.000
In -2.423 3.019 2.130
Ta -0.728 -2.111 2.268
Tl -2.860 -0.059 1.413
```

* offset from the most stable computed form: 0.140 eV/atom
* DFT total energy: -0.1665 hartree per atom
* DOS at the Fermi energy: 2.68 states/eV per cell
* E_form: 0.39 eV per atom

=====

[5]
First-principles (PBE) data for TaTlIn2 after structural relaxation, as listed in Alexandria.

Cell and atoms, written as extended XYZ:
```
4
Lattice="4.317 0.000 0.000 0.000 3.294 0.165 0.000 2.985 6.512" Properties=species:S:1:pos:R:3 pbc="T T T"
In 0.000 3.288 0.291
In 0.000 3.145 3.212
Ta 2.158 1.570 1.669
Tl 2.158 4.709 5.007
```

* offset from the most stable computed form: 0.128 eV/atom
* DFT total energy: -0.1670 hartree per atom
* DOS at the Fermi energy: 2.42 states/eV per cell
* E_form: 0.38 eV per atom

=====

[6]
First-principles (PBE) data for Ta3TlIn after structural relaxation, as listed in Alexandria.

Cell and atoms, written as extended XYZ:
```
5
Lattice="-1.144 -4.577 -1.730 4.136 -1.854 2.169 -2.614 -0.931 4.189" Properties=species:S:1:pos:R:3 pbc="T T T"
Tl 0.189 -3.681 2.314
In 0.000 0.000 0.000
Ta 2.068 -0.927 1.085
Ta -1.307 -0.465 2.095
Ta -0.572 -2.288 -0.865
```

* offset from the most stable computed form: 0.000 eV/atom
* DFT total energy: -0.2247 hartree per atom
* DOS at the Fermi energy: 9.04 states/eV per cell
* E_form: 2.02 eV per atom

=====

[7]
First-principles (PBE) data for TaTlIn2 after structural relaxation, as listed in Alexandria.

Cell and atoms, written as extended XYZ:
```
8
Lattice="-2.286 -7.686 1.762 7.777 -1.895 1.826 2.272 -4.000 4.629" Properties=species:S:1:pos:R:3 pbc="T T T"
Tl 0.000 0.000 0.000
Tl 1.366 -8.238 4.092
In 0.165 -5.860 2.445
In 5.089 -3.325 2.560
In 3.946 -6.637 4.860
In 6.327 -11.338 6.568
Ta 2.745 -4.790 1.794
Ta 6.397 -5.342 4.124
```

* offset from the most stable computed form: 0.443 eV/atom
* DFT total energy: -0.1554 hartree per atom
* DOS at the Fermi energy: 4.84 states/eV per cell
* E_form: 0.70 eV per atom

=====

[8]
First-principles (PBE) data for TaTlIn2 after structural relaxation, as listed in Alexandria.

Cell and atoms, written as extended XYZ:
```
4
Lattice="5.682 0.007 -0.014 4.848 2.964 -0.014 0.651 0.184 5.371" Properties=species:S:1:pos:R:3 pbc="T T T"
In 10.398 2.933 0.060
In 5.722 1.614 2.583
Ta 2.795 0.789 1.336
Tl 8.386 2.366 4.007
```

* offset from the most stable computed form: 0.141 eV/atom
* DFT total energy: -0.1665 hartree per atom
* DOS at the Fermi energy: 2.63 states/eV per cell
* E_form: 0.39 eV per atom